# TlCrC2O6

A relaxed structure of TlCrC2O6 (GGA+U, Alexandria).

Cell and atoms, written as POSCAR:
```
TlCrC2O6
1.0
2.4324 1.4043 6.5091
-2.4324 1.4043 6.5091
0.0000 -2.8087 6.5091
Tl Cr C O
1 1 2 6
direct
0.0000 0.0000 0.0000
0.5000 0.5000 0.5000
0.2237 0.2237 0.2237
0.7763 0.7763 0.7763
0.0615 0.7257 0.5351
0.2743 0.4649 0.9385
0.4649 0.9385 0.2743
0.5351 0.0615 0.7257
0.7257 0.5351 0.0615
0.9385 0.2743 0.4649
```

Summary:
**Space group**: R-3
**Fermi-level density of states**: 0.00 states/eV per cell
**Calculated total energy**: -7.27 eV/atom